(1)
## RuIBr3 (PBE)

Data for a relaxed structure of RuIBr3.

Structure (CIF):
```
data_RuIBr3
_chemical_formula_sum 'Ru4 I4 Br12'
_space_group_name_H-M_alt 'C m c m'
_space_group_IT_number 63
_space_group_name_Hall '-C 2c 2'
_cell_length_a 7.2954
_cell_length_b 11.6870
_cell_length_c 7.5127
_cell_angle_alpha 90.00
_cell_angle_beta 90.00
_cell_angle_gamma 90.00
loop_
_atom_site_label
_atom_site_fract_x
_atom_site_fract_y
_atom_site_fract_z
_atom_site_occupancy
Ru1 0.0000 0.0031 0.2500 1
I1 0.0000 0.2259 0.2500 1
Br1 0.0000 0.2075 0.7500 1
Br2 0.2336 0.0000 0.0000 1
```

Properties
The calculation puts the energy above the most stable polymorph in this dataset at 15 meV/atom.



(2)
## RuIBr6 (PBE)

Data for a relaxed structure of RuIBr6.

Structure (CIF):
```
data_RuIBr6
_chemical_formula_sum 'Ru4 I4 Br24'
_space_group_name_H-M_alt 'C 1 2/c 1'
_space_group_IT_number 15
_cell_length_a 12.6835
_cell_length_b 8.7647
_cell_length_c 12.1517
_cell_angle_alpha 90.00
_cell_angle_beta 103.36
_cell_angle_gamma 90.00
loop_
_space_group_symop_operation_xyz
'x,y,z'
'-x,-y,-z'
'-x,y,-z+1/2'
'x,-y,z+1/2'
'x+1/2,y+1/2,z'
'-x+1/2,-y+1/2,-z'
'-x+1/2,y+1/2,-z+1/2'
'x+1/2,-y+1/2,z+1/2'
loop_
_atom_site_label
_atom_site_fract_x
_atom_site_fract_y
_atom_site_fract_z
_atom_site_occupancy
Ru1 0.2500 0.2500 0.0000 1
I1 0.0000 0.0120 0.7500 1
Br1 0.0957 0.3449 0.0697 1
Br2 0.1522 0.0055 0.4487 1
Br3 0.1708 0.3584 0.8133 1
```

Properties
The value obtained for the calculated total energy is -86.99 eV per cell.



(3)
## RuI2Br5 (PBE)

Data for a relaxed structure of RuI2Br5.

Structure (CIF):
```
data_RuI2Br5
_chemical_formula_sum 'Ru2 I4 Br10'
_space_group_name_H-M_alt 'C 1 m 1'
_space_group_IT_number 8
_cell_length_a 5.6306
_cell_length_b 15.5023
_cell_length_c 8.1259
_cell_angle_alpha 90.00
_cell_angle_beta 105.50
_cell_angle_gamma 90.00
loop_
_space_group_symop_operation_xyz
'x,y,z'
'x,-y,z'
'x+1/2,y+1/2,z'
'x+1/2,-y+1/2,z'
loop_
_atom_site_label
_atom_site_fract_x
_atom_site_fract_y
_atom_site_fract_z
_atom_site_occupancy
Ru1 0.0000 0.0000 0.0000 1
I1 0.0079 0.2236 0.4920 1
Br1 0.0670 0.1545 0.9938 1
Br2 0.1358 0.5000 0.0961 1
Br3 0.2678 0.0000 0.3011 1
Br4 0.3206 0.5000 0.6940 1
```

Properties
The value obtained for the calculated total energy is -42.22 eV per cell.



(4)
## RuIBr5 (PBE)

Data for a relaxed structure of RuIBr5.

Structure (CIF):
```
data_RuIBr5
_chemical_formula_sum 'Ru2 I2 Br10'
_space_group_name_H-M_alt 'P 1'
_space_group_IT_number 1
_cell_length_a 8.6419
_cell_length_b 10.2808
_cell_length_c 10.3714
_cell_angle_alpha 119.50
_cell_angle_beta 113.05
_cell_angle_gamma 90.36
loop_
_space_group_symop_operation_xyz
'x,y,z'
loop_
_atom_site_label
_atom_site_fract_x
_atom_site_fract_y
_atom_site_fract_z
_atom_site_occupancy
Ru1 0.0000 0.0000 0.0000 1
Ru2 0.3249 0.7367 0.3908 1
I1 0.1631 0.3681 0.6964 1
I2 0.6629 0.3679 0.6960 1
Br1 0.0830 0.5452 0.1536 1
Br2 0.0911 0.7983 0.8341 1
Br3 0.2379 0.9441 0.5545 1
Br4 0.2397 0.1906 0.2412 1
Br5 0.4781 0.6259 0.5359 1
Br6 0.4982 0.8237 0.3097 1
Br7 0.5108 0.4885 0.9028 1
Br8 0.8157 0.2474 0.4897 1
Br9 0.8252 0.9046 0.0739 1
Br10 0.8466 0.1145 0.8596 1
```

Properties
The value obtained for the calculated total energy is -39.15 eV per cell.



What did the first record say?
## RuIBr3 (PBE)

Data for a relaxed structure of RuIBr3.

Structure (CIF):
```
data_RuIBr3
_chemical_formula_sum 'Ru4 I4 Br12'
_space_group_name_H-M_alt 'C m c m'
_space_group_IT_number 63
_space_group_name_Hall '-C 2c 2'
_cell_length_a 7.2954
_cell_length_b 11.6870
_cell_length_c 7.5127
_cell_angle_alpha 90.00
_cell_angle_beta 90.00
_cell_angle_gamma 90.00
loop_
_atom_site_label
_atom_site_fract_x
_atom_site_fract_y
_atom_site_fract_z
_atom_site_occupancy
Ru1 0.0000 0.0031 0.2500 1
I1 0.0000 0.2259 0.2500 1
Br1 0.0000 0.2075 0.7500 1
Br2 0.2336 0.0000 0.0000 1
```

Properties
The calculation puts the energy above the most stable polymorph in this dataset at 15 meV/atom.



- Number 3 is which compound?
  RuI2Br5



Please write out number 1 again, unchanged.
## RuIBr3 (PBE)

Data for a relaxed structure of RuIBr3.

Structure (CIF):
```
data_RuIBr3
_chemical_formula_sum 'Ru4 I4 Br12'
_space_group_name_H-M_alt 'C m c m'
_space_group_IT_number 63
_space_group_name_Hall '-C 2c 2'
_cell_length_a 7.2954
_cell_length_b 11.6870
_cell_length_c 7.5127
_cell_angle_alpha 90.00
_cell_angle_beta 90.00
_cell_angle_gamma 90.00
loop_
_atom_site_label
_atom_site_fract_x
_atom_site_fract_y
_atom_site_fract_z
_atom_site_occupancy
Ru1 0.0000 0.0031 0.2500 1
I1 0.0000 0.2259 0.2500 1
Br1 0.0000 0.2075 0.7500 1
Br2 0.2336 0.0000 0.0000 1
```

Properties
The calculation puts the energy above the most stable polymorph in this dataset at 15 meV/atom.